# 1
Material: CuPOs
Method: DFT, GGA-PBE
State: relaxed

a b c (Å): 3.924 3.924 3.095
angles (deg): 90.00 90.00 120.00
Positions (direct):
Cu1 0.000 0.000 0.000
P1 0.667 0.333 0.500
Os1 0.333 0.667 0.500

Crystal system: hexagonal
Energy above the lowest structure with this stoichiometry in meV/atom: 42


# 2
Material: CuP2Os
Method: DFT, GGA-PBE
State: relaxed

a b c (Å): 4.040 4.040 4.888
angles (deg): 97.20 97.20 43.71
Positions (direct):
Cu1 0.000 0.000 0.000
P1 0.229 0.229 0.737
P2 0.771 0.771 0.263
Os1 0.500 0.500 0.500

Crystal system: monoclinic
Energy above the lowest structure with this stoichiometry in meV/atom: 161


# 3
Material: CuPOs2
Method: DFT, GGA-PBE
State: relaxed

a b c (Å): 4.162 4.162 2.968
angles (deg): 90.00 90.00 90.00
Positions (direct):
Cu1 0.000 0.000 0.000
P1 0.500 0.500 0.000
Os1 0.000 0.500 0.500
Os2 0.500 0.000 0.500

Total energy in eV per cell: -30.715
Crystal system: tetragonal


# 4
Material: Cu2P2Os
Method: DFT, GGA-PBE
State: relaxed

a b c (Å): 6.670 6.670 6.670
angles (deg): 151.04 151.04 41.41
Positions (direct):
Cu1 0.099 0.099 0.000
Cu2 0.901 0.901 0.000
P1 0.250 0.750 0.500
P2 0.750 0.250 0.500
Os1 0.500 0.500 0.000

Crystal system: tetragonal
Energy above the lowest structure with this stoichiometry in meV/atom: 816


# 5
Material: CuPOs
Method: DFT, GGA-PBE
State: relaxed

a b c (Å): 6.598 6.327 2.764
angles (deg): 83.21 72.21 24.58
Positions (direct):
Cu1 0.000 0.000 0.000
P1 0.668 0.668 0.332
Os1 0.318 0.318 0.682

Crystal system: orthorhombic
Energy above the lowest structure with this stoichiometry in meV/atom: 451


# 6
Material: CuPOs2
Method: DFT, GGA-PBE
State: relaxed

a b c (Å): 8.234 8.234 8.234
angles (deg): 19.50 19.50 19.50
Positions (direct):
Cu1 0.000 0.000 0.000
P1 0.746 0.746 0.746
Os1 0.243 0.243 0.243
Os2 0.487 0.487 0.487

Total energy in eV per cell: -31.224
Crystal system: trigonal


# 7
Material: CuPOs
Method: DFT, GGA-PBE
State: relaxed

a b c (Å): 3.889 3.889 3.889
angles (deg): 60.00 60.00 60.00
Positions (direct):
Cu1 0.000 0.000 0.000
P1 0.750 0.750 0.750
Os1 0.500 0.500 0.500

Crystal system: cubic
Energy above the lowest structure with this stoichiometry in meV/atom: 0


# 8
Material: CuPOs2
Method: DFT, GGA-PBE
State: relaxed

a b c (Å): 3.871 5.110 5.110
angles (deg): 32.55 90.00 90.00
Positions (direct):
Cu1 0.000 0.000 0.000
P1 0.500 0.402 0.402
Os1 0.000 0.265 0.265
Os2 0.500 0.637 0.637

Total energy in eV per cell: -31.114
Crystal system: orthorhombic


# 9
Material: CuPOs2
Method: DFT, GGA-PBE
State: relaxed

a b c (Å): 2.804 3.708 5.168
angles (deg): 90.00 90.00 90.00
Positions (direct):
Cu1 0.000 0.000 0.000
P1 0.500 0.500 0.750
Os1 0.000 0.000 0.499
Os2 0.500 0.500 0.240

Total energy in eV per cell: -30.555
Crystal system: orthorhombic


# 10
Material: CuP2Os
Method: DFT, GGA-PBE
State: relaxed

a b c (Å): 2.909 2.909 6.419
angles (deg): 90.00 90.00 90.00
Positions (direct):
Cu1 0.000 0.000 0.000
P1 0.500 0.500 0.264
P2 0.500 0.500 0.736
Os1 0.000 0.000 0.500

Crystal system: tetragonal
Energy above the lowest structure with this stoichiometry in meV/atom: 257


# 11
Material: Cu2P2Os
Method: DFT, GGA-PBE
State: relaxed

a b c (Å): 5.929 5.929 4.107
angles (deg): 90.00 90.00 90.00
Positions (direct):
Cu1 0.249 0.251 0.000
Cu2 0.251 0.751 0.000
Cu3 0.749 0.249 0.000
Cu4 0.751 0.749 0.000
P1 0.130 0.370 0.500
P2 0.370 0.870 0.500
P3 0.630 0.130 0.500
P4 0.870 0.630 0.500
Os1 0.000 0.000 0.500
Os2 0.500 0.500 0.500

Crystal system: tetragonal
Energy above the lowest structure with this stoichiometry in meV/atom: 0


# 12
Material: CuPOs2
Method: DFT, GGA-PBE
State: relaxed

a b c (Å): 2.885 3.674 5.267
angles (deg): 90.00 103.82 90.00
Positions (direct):
Cu1 0.000 0.000 0.000
P1 0.000 0.000 0.500
Os1 0.353 0.500 0.732
Os2 0.647 0.500 0.268

Total energy in eV per cell: -31.202
Crystal system: monoclinic


# 13
Material: CuPOs2
Method: DFT, GGA-PBE
State: relaxed

a b c (Å): 2.736 2.736 8.609
angles (deg): 90.00 90.00 119.25
Positions (direct):
Cu1 0.000 0.000 0.000
P1 0.500 0.500 0.757
Os1 0.000 0.000 0.530
Os2 0.500 0.500 0.260

Total energy in eV per cell: -29.817
Crystal system: orthorhombic


# 14
Material: CuP2Os
Method: DFT, GGA-PBE
State: relaxed

a b c (Å): 4.783 4.783 4.783
angles (deg): 135.53 135.53 64.70
Positions (direct):
Cu1 0.000 0.000 0.000
P1 0.500 0.500 0.000
P2 0.750 0.250 0.500
Os1 0.250 0.750 0.500

Crystal system: tetragonal
Energy above the lowest structure with this stoichiometry in meV/atom: 487


# 15
Material: CuP2Os
Method: DFT, GGA-PBE
State: relaxed

a b c (Å): 3.123 3.123 6.575
angles (deg): 90.00 90.00 90.00
Positions (direct):
Cu1 0.000 0.000 0.000
P1 0.000 0.000 0.417
P2 0.500 0.500 0.881
Os1 0.500 0.500 0.253

Crystal system: tetragonal
Energy above the lowest structure with this stoichiometry in meV/atom: 273


# 16
Material: CuP2Os
Method: DFT, GGA-PBE
State: relaxed

a b c (Å): 4.197 4.197 4.197
angles (deg): 60.00 60.00 60.00
Positions (direct):
Cu1 0.000 0.000 0.000
P1 0.250 0.250 0.250
P2 0.750 0.750 0.750
Os1 0.500 0.500 0.500

Crystal system: cubic
Energy above the lowest structure with this stoichiometry in meV/atom: 268


# 17
Material: CuPOs
Method: DFT, GGA-PBE
State: relaxed

a b c (Å): 2.855 2.855 5.756
angles (deg): 90.00 90.00 120.00
Positions (direct):
Cu1 0.000 0.000 0.000
P1 0.333 0.667 0.674
Os1 0.667 0.333 0.379

Crystal system: trigonal
Energy above the lowest structure with this stoichiometry in meV/atom: 138


# 18
Material: CuP2Os
Method: DFT, GGA-PBE
State: relaxed

a b c (Å): 2.902 3.726 5.014
angles (deg): 90.00 90.00 90.00
Positions (direct):
Cu1 0.000 0.000 0.000
P1 0.000 0.000 0.503
P2 0.500 0.500 0.880
Os1 0.500 0.500 0.356

Crystal system: orthorhombic
Energy above the lowest structure with this stoichiometry in meV/atom: 201


# 19
Material: CuP3Os
Method: DFT, GGA-PBE
State: relaxed

a b c (Å): 4.601 4.601 4.601
angles (deg): 90.00 90.00 90.00
Positions (direct):
Cu1 0.000 0.000 0.000
P1 0.000 0.500 0.500
P2 0.500 0.000 0.500
P3 0.500 0.500 0.000
Os1 0.500 0.500 0.500

Crystal system: cubic
Energy above the lowest structure with this stoichiometry in meV/atom: 0


# 20
Material: CuPOs2
Method: DFT, GGA-PBE
State: relaxed

a b c (Å): 5.051 5.051 4.369
angles (deg): 114.21 114.21 33.07
Positions (direct):
Cu1 0.000 0.000 0.000
P1 0.214 0.214 0.515
Os1 0.432 0.432 0.432
Os2 0.718 0.718 0.934

Total energy in eV per cell: -31.079
Crystal system: monoclinic